# 1
First-principles (PBE-GGA) data for Tb2HoTl after structural relaxation, as listed in the Alexandria database.

Structure (POSCAR):
```
Tb2HoTl
1.0
1.812 -6.379 0.000
1.812 6.379 0.000
0.000 0.000 10.346
Tb Ho Tl
4 2 2
Direct
0.131 0.869 0.531
0.131 0.869 0.969
0.869 0.131 0.031
0.869 0.131 0.469
0.461 0.539 0.750
0.539 0.461 0.250
0.255 0.745 0.250
0.745 0.255 0.750
```

Values from the calculation:
Electronic total energy, eV/atom: -4.213
SG: Cmcm (63)
E above lowest polymorph, meV/atom: 20
DFT formation energy, eV per atom: -0.162
Total magnetization, μB/cell: 0.00

***

# 2
First-principles (PBE-GGA) data for Tb4HoTl after structural relaxation, as listed in the Alexandria database.

Structure (POSCAR):
```
Tb4HoTl
1.0
3.588 0.000 0.000
0.000 3.588 0.000
0.000 0.000 14.293
Tb Ho Tl
4 1 1
Direct
0.000 0.000 0.150
0.000 0.000 0.850
0.500 0.500 0.326
0.500 0.500 0.674
0.000 0.000 0.500
0.500 0.500 0.000
```

Values from the calculation:
Electronic total energy, eV/atom: -4.349
SG: P4/mmm (123)
E above lowest polymorph, meV/atom: 0
DFT formation energy, eV per atom: -0.105
Total magnetization, μB/cell: 0.00

***

# 3
First-principles (PBE-GGA) data for TbHo6Tl4 after structural relaxation, as listed in the Alexandria database.

Structure (POSCAR):
```
TbHo6Tl4
1.0
-3.864 3.864 5.887
3.864 -3.864 5.887
3.864 3.864 -5.887
Tb Ho Tl
1 6 4
Direct
0.000 0.000 0.000
0.000 0.500 0.500
0.106 0.478 0.000
0.478 0.106 0.000
0.500 0.000 0.500
0.522 0.522 0.628
0.894 0.894 0.372
0.248 0.248 0.643
0.395 0.752 0.000
0.605 0.605 0.357
0.752 0.395 0.000
```

Values from the calculation:
Electronic total energy, eV/atom: -3.787
SG: I-42m (121)
DFT formation energy, eV per atom: -0.009
Total magnetization, μB/cell: 0.41

***

> Which of these has the highest total magnetization?

TbHo6Tl4

***

What did the second record say?
First-principles (PBE-GGA) data for Tb4HoTl after structural relaxation, as listed in the Alexandria database.

Structure (POSCAR):
```
Tb4HoTl
1.0
3.588 0.000 0.000
0.000 3.588 0.000
0.000 0.000 14.293
Tb Ho Tl
4 1 1
Direct
0.000 0.000 0.150
0.000 0.000 0.850
0.500 0.500 0.326
0.500 0.500 0.674
0.000 0.000 0.500
0.500 0.500 0.000
```

Values from the calculation:
Electronic total energy, eV/atom: -4.349
SG: P4/mmm (123)
E above lowest polymorph, meV/atom: 0
DFT formation energy, eV per atom: -0.105
Total magnetization, μB/cell: 0.00

***

> Number 1 is which compound?

Tb2HoTl